A plane-wave DFT calculation with PBE was carried out for a relaxed CeHo2Tl4 crystal.

Output
electronic total energy: -25.69 eV/f.u.
total magnetization: 1.726 μB per formula unit
relative energy among the computed polymorphs: 0.0 meV per atom
ΔH_f (0 K): -0.16 eV per atom

abc: 5.253 5.253 7.675
angles: 90.00 90.00 90.00
Fractional positions:
Tl 0.500 0.000 0.273
Tl 0.000 0.500 0.727
Tl 0.500 0.000 0.727
Tl 0.000 0.500 0.273
Ho 0.000 0.000 0.000
Ho 0.500 0.500 0.500
Ce 0.500 0.500 0.000